This record from Alexandria via LeMat-Bulk describes a relaxed structure of Al2SiNi2. The functional is PBE.

Calculated values
The uncorrected formation energy is -0.3804 eV per atom. The value obtained for the magnetization is 0.000 μB per atom. As for the energy relative to the lowest polymorph listed for this composition: 0.183 eV per atom. Its final energy is -5.27 eV per atom.

a b c (Å): 6.0567 6.0567 3.5865
angles (deg): 90.00 90.00 90.00
With the nearest neighbours (Å) after each atom.
Space group P4/mbm (No. 127)
One atom of each set of equivalent atoms:
Al  0.1571  0.3429  0.0000 [4 per cell]  6 Ni 2.45-2.58, 1 Al 2.69
Si  0.0000  0.0000  0.5000 [2 per cell]  4 Ni 2.31
Ni  0.1485  0.6485  0.5000 [4 per cell]  2 Si 2.31, 6 Al 2.45-2.58, 1 Ni 2.54